GGA-PBE HgRhO3, relaxed; raw formation energy = -2.22 eV per formula unit; SG = C2/m, No. 12
1.0
5.279 -1.926 0.000
5.279 1.926 0.000
-1.093 0.000 6.440
Hg Rh O
2 2 6
direct
0.117 0.117 0.416
0.883 0.883 0.584
0.367 0.367 0.081
0.633 0.633 0.919
0.175 0.175 0.953
0.332 0.332 0.370
0.445 0.445 0.810
0.555 0.555 0.190
0.668 0.668 0.630
0.825 0.825 0.047